## Ni5PtI12 (GGA-PBE)

Data for a relaxed Ni5PtI12 crystal.

Output
Uncorrected formation energy (eV/atom): -0.057
SG: C2/m (12)
Total magnetization (μB per cell): 7.9

The structure in POSCAR format:
```
Ni5PtI12
1.0
3.436 -5.950 0.000
3.436 5.950 0.000
-2.534 0.000 13.993
Ni Pt I
5 1 12
direct
0.000 0.000 0.000
0.167 0.833 0.500
0.333 0.667 0.000
0.667 0.333 0.000
0.833 0.167 0.500
0.500 0.500 0.500
0.040 0.706 0.108
0.122 0.460 0.391
0.201 0.201 0.609
0.294 0.960 0.892
0.372 0.372 0.107
0.460 0.122 0.391
0.540 0.878 0.609
0.628 0.628 0.893
0.706 0.040 0.108
0.799 0.799 0.391
0.878 0.540 0.609
0.960 0.294 0.892
```

---

## NiPt2I8 (GGA-PBE)

Data for a relaxed NiPt2I8 crystal.

Output
Uncorrected formation energy (eV/atom): -0.039
SG: C2/m (12)
Total magnetization (μB per cell): 0.2

The structure in POSCAR format:
```
NiPt2I8
1.0
6.094 -4.843 0.000
6.094 4.843 0.000
-6.052 0.000 9.052
Ni Pt I
1 2 8
direct
0.000 0.000 0.000
0.308 0.308 0.408
0.692 0.692 0.592
0.044 0.685 0.818
0.167 0.167 0.523
0.315 0.956 0.182
0.476 0.476 0.324
0.524 0.524 0.676
0.685 0.044 0.818
0.833 0.833 0.477
0.956 0.315 0.182
```

---

> The highest total magnetization belongs to which entry?

Ni5PtI12